VASP calculation (PBE-GGA) on a relaxed structure of SrNb2Ge2.

Cell and atoms, written as CIF:
```
data_SrNb2Ge2
_symmetry_space_group_name_H-M 'I 4/m m m'
_symmetry_Int_Tables_number 139
_symmetry_space_group_name_Hall '-I 4 2'
_cell_length_a 5.025
_cell_length_b 5.025
_cell_length_c 8.931
_cell_angle_alpha 90.00
_cell_angle_beta 90.00
_cell_angle_gamma 90.00
loop_
_atom_site_label
_atom_site_fract_x
_atom_site_fract_y
_atom_site_fract_z
_atom_site_occupancy
Sr1 0.000 0.000 0.000 1
Nb1 0.000 0.000 0.354 1
Ge1 0.000 0.500 0.250 1
```

Calculated values
Its energy above the lowest structure with this stoichiometry is 1.831 eV/f.u. The calculation puts the magnetic moment at 0.00 Bohr magnetons per cell. As for the formation energy: -0.029 eV per atom. As for the total energy: -6.240 eV/atom.

VASP calculation (PBE-GGA) on a relaxed structure of Pr8CoP3I4.

Cell and atoms, written as CIF:
```
data_Pr8CoP3I4
_symmetry_space_group_name_H-M 'R -3 m'
_symmetry_Int_Tables_number 166
_symmetry_space_group_name_Hall '-R 3 2"'
_cell_length_a 8.5137
_cell_length_b 8.5137
_cell_length_c 23.3092
_cell_angle_alpha 90.00
_cell_angle_beta 90.00
_cell_angle_gamma 120.00
loop_
_atom_site_label
_atom_site_fract_x
_atom_site_fract_y
_atom_site_fract_z
_atom_site_occupancy
Pr1 0.0000 0.0000 0.2305 1
Pr2 0.0142 0.5071 0.2295 1
Co1 0.0000 0.0000 0.5000 1
P1 0.0000 0.5000 0.5000 1
I1 0.0000 0.0000 0.0000 1
I2 0.0000 0.5000 0.0000 1
```

Calculated values
Its uncorrected formation energy is -1.145 eV per atom. The calculation puts the magnetic moment at 2.01 Bohr magnetons per cell. As for the total energy: -5.381 eV/atom.